(1)
## GdNiB (PBE-GGA)

Data for an optimized crystal structure of GdNiB.

Summary:
DFT total energy (eV for the cell shown): -66.226
Offset from the most stable computed form (eV per formula unit): 0.00
ρ (kg/m3): 7715
Spin magnetization (μB per atom): 0.1023

Cell lengths 5.801, 5.801, 5.801 Å; angles 90.00, 90.00, 90.00 degrees
Space group F-43m (No. 216)
Asymmetric unit:
Gd (0.000, 0.000, 0.000) (multiplicity 4)
Ni (0.000, 0.000, 0.500) (multiplicity 4)
B (0.250, 0.250, 0.250) (multiplicity 4)

(2)
## Pm3Sm2Sb3 (PBE-GGA)

Data for an optimized crystal structure of Pm3Sm2Sb3.

Summary:
DFT total energy (eV for the cell shown): -87.655
ρ (kg/m3): 7684
Spin magnetization (μB per atom): 0.0028

Cell lengths 9.2266, 9.2266, 6.4545 Å; angles 90.00, 90.00, 120.00 degrees
Space group P6_3/mcm (No. 193)
Asymmetric unit:
Pm (0.0000, 0.2489, 0.2500) (multiplicity 6)
Sm (0.3333, 0.6667, 0.0000) (multiplicity 4)
Sb (0.0000, 0.3881, 0.7500) (multiplicity 6)

(3)
## ZnCu5Si2 (PBE-GGA)

Data for an optimized crystal structure of ZnCu5Si2.

Summary:
DFT total energy (eV for the cell shown): -30.426
ρ (kg/m3): 7407

Cell lengths 4.124, 4.124, 5.792 Å; angles 90.00, 90.00, 90.00 degrees
Space group P4/mmm (No. 123)
Asymmetric unit:
Zn (0.000, 0.000, 0.000) (multiplicity 1)
Cu (0.000, 0.500, 0.253) (multiplicity 4)
Cu (0.500, 0.500, 0.500) (multiplicity 1)
Si (0.000, 0.000, 0.500) (multiplicity 1)
Si (0.500, 0.500, 0.000) (multiplicity 1)